i | MnAs2Au at its PBEsol-relaxed geometry. Source: Alexandria, functional meta-GGA SCAN.

Computed properties:
For the total moment, the calculation gives 14.10 Bohr magnetons per cell.

Lattice parameters (Å, degrees): 4.2925 4.2925 15.6592 90.00 90.00 90.00
With the nearest neighbours (Å) after each atom.
Space group I-42d (No. 122)
One atom of each set of equivalent atoms:
Mn 0.0000 0.0000 0.0000  4 As 2.40
As 0.2084 0.2500 0.1250  2 Mn 2.40, 2 Au 2.56
Au 0.0000 0.0000 0.5000  4 As 2.56

---

ii | MnAs2Au at its PBEsol-relaxed geometry. Source: Alexandria, functional meta-GGA SCAN.

Computed properties:
For the total moment, the calculation gives 3.05 Bohr magnetons per cell.

Lattice parameters (Å, degrees): 3.2245 3.2716 6.0499 90.00 90.00 90.00
With the nearest neighbours (Å) after each atom.
Space group Pmmm (No. 47)
One atom of each set of equivalent atoms:
Mn 0.0000 0.0000 0.0000  8 As 2.65
As 0.5000 0.5000 0.2183  1 As 2.64, 4 Mn 2.65, 4 Au 2.86
Au 0.0000 0.0000 0.5000  8 As 2.86, 2 Mn 3.02

---

Which of them is most stable? Easy: i.

---

i | SiAsAu2 at its PBEsol-relaxed geometry. Source: Alexandria, functional meta-GGA SCAN.

Computed properties:
For the total moment, the calculation gives 0.00 Bohr magnetons per cell.

Lattice parameters (Å, degrees): 2.7044 3.9292 6.8109 90.00 90.00 90.00
With the nearest neighbours (Å) after each atom.
Space group Pmmm (No. 47)
One atom of each set of equivalent atoms:
Si 0.0000 0.0000 0.0000  4 Au 2.53, 2 Si 2.70
As 0.0000 0.0000 0.5000  4 Au 2.67, 2 As 2.70
Au 0.0000 0.5000 0.2346  2 Si 2.53, 2 As 2.67, 2 Au 2.70

---

ii | SiAsAu2 at its PBEsol-relaxed geometry. Source: Alexandria, functional meta-GGA SCAN.

Computed properties:
For the total moment, the calculation gives 0.00 Bohr magnetons per cell.

Lattice parameters (Å, degrees): 6.5084 6.5084 6.5084 90.00 90.00 90.00
With the nearest neighbours (Å) after each atom.
Space group Fm-3m (No. 225)
One atom of each set of equivalent atoms:
Si 0.0000 0.0000 0.0000  8 Au 2.82
As 0.0000 0.0000 0.5000  8 Au 2.82
Au 0.2500 0.2500 0.2500  4 As 2.82, 4 Si 2.82

---

iii | SiAsAu2 at its PBEsol-relaxed geometry. Source: Alexandria, functional meta-GGA SCAN.

Computed properties:
For the total moment, the calculation gives 0.00 Bohr magnetons per cell.

Lattice parameters (Å, degrees): 3.2981 3.2981 22.2208 90.00 90.00 120.00
With the nearest neighbours (Å) after each atom.
Space group R-3m (No. 166, hexagonal axes)
One atom of each set of equivalent atoms:
Si 0.0000 0.0000 0.0000  6 Au 2.55
As 0.0000 0.0000 0.5000  6 Au 2.76
Au 0.0000 0.0000 0.2568  3 Si 2.55, 3 As 2.76

---

Which of them is most stable? Easy: iii.

---

i | TcAs2Au at its PBEsol-relaxed geometry. Source: Alexandria, functional meta-GGA SCAN.

Computed properties:
For the total moment, the calculation gives 1.09 Bohr magnetons per cell.

Lattice parameters (Å, degrees): 4.4313 4.4313 3.2280 90.00 90.00 90.00
With the nearest neighbours (Å) after each atom.
Space group P4/mmm (No. 123)
One atom of each set of equivalent atoms:
Tc 0.0000 0.0000 0.0000  8 As 2.74
As 0.0000 0.5000 0.5000  4 Au 2.74, 4 Tc 2.74
Au 0.5000 0.5000 0.0000  8 As 2.74

---

ii | TcAs2Au at its PBEsol-relaxed geometry. Source: Alexandria, functional meta-GGA SCAN.

Computed properties:
For the total moment, the calculation gives 0.01 Bohr magnetons per cell.

Lattice parameters (Å, degrees): 3.2558 4.1169 4.8896 90.00 90.00 90.00
With the nearest neighbours (Å) after each atom.
Space group Pmmm (No. 47)
One atom of each set of equivalent atoms:
Tc 0.0000 0.0000 0.0000  4 As 2.62, 4 Au 2.94
As 0.0000 0.5000 0.5000  4 Au 2.62, 4 As 2.94
As 0.5000 0.5000 0.0000  4 Tc 2.62, 4 As 2.94
Au 0.5000 0.0000 0.5000  4 As 2.62, 4 Tc 2.94

---

iii | TcAs2Au at its PBEsol-relaxed geometry. Source: Alexandria, functional meta-GGA SCAN.

Computed properties:
For the total moment, the calculation gives 0.00 Bohr magnetons per cell.

Lattice parameters (Å, degrees): 3.0755 3.0755 24.1197 90.00 90.00 120.00
With the nearest neighbours (Å) after each atom.
Space group R-3m (No. 166, hexagonal axes)
One atom of each set of equivalent atoms:
Tc 0.0000 0.0000 0.0000  6 As 2.52
As 0.0000 0.0000 0.2591  3 Tc 2.52
Au 0.0000 0.0000 0.5000  6 As 2.85, 6 Au 3.08

---

Which of them is most stable? Easy: iii.

---

i | Te2As2Au at its PBEsol-relaxed geometry. Source: Alexandria, functional meta-GGA SCAN.

Computed properties:
For the total moment, the calculation gives 0.00 Bohr magnetons per cell.

Lattice parameters (Å, degrees): 7.8966 7.8966 3.8020 90.00 90.00 90.00
With the nearest neighbours (Å) after each atom.
Space group P4/mbm (No. 127)
One atom of each set of equivalent atoms:
Te 0.1987 0.3013 0.0000  2 As 2.72, 2 Au 2.85
As 0.1274 0.6274 0.5000  2 Te 2.72, 1 As 2.85
Au 0.0000 0.0000 0.0000  4 Te 2.85

---

ii | Te2As2Au at its PBEsol-relaxed geometry. Source: Alexandria, functional meta-GGA SCAN.

Computed properties:
For the total moment, the calculation gives 0.00 Bohr magnetons per cell.

Lattice parameters (Å, degrees): 7.6972 7.6972 3.9808 90.00 90.00 90.00
With the nearest neighbours (Å) after each atom.
Space group P4/mbm (No. 127)
One atom of each set of equivalent atoms:
Te 0.1482 0.3518 0.0000  2 As 2.70
As 0.1847 0.6847 0.5000  2 Te 2.70, 2 Au 2.81
Au 0.0000 0.0000 0.5000  4 As 2.81

---

Which of them is most stable? Easy: ii.

---

i | TlAs2Au at its PBEsol-relaxed geometry. Source: Alexandria, functional meta-GGA SCAN.

Computed properties:
For the total moment, the calculation gives 0.00 Bohr magnetons per cell.

Lattice parameters (Å, degrees): 5.7715 10.0617 2.8459 90.00 92.51 90.00
With the nearest neighbours (Å) after each atom.
Space group C2/m (No. 12)
One atom of each set of equivalent atoms:
Tl 0.0000 0.0000 0.0000  2 Tl 2.85, 2 Au 2.89
As 0.2500 0.2500 0.5000  4 As 2.85-2.89
Au 0.0000 0.5000 0.0000  2 Au 2.85, 2 Tl 2.89

---

ii | TlAs2Au at its PBEsol-relaxed geometry. Source: Alexandria, functional meta-GGA SCAN.

Computed properties:
For the total moment, the calculation gives 0.00 Bohr magnetons per cell.

Lattice parameters (Å, degrees): 4.5436 3.9879 5.3182 90.00 105.69 90.00
With the nearest neighbours (Å) after each atom.
Space group P2/m (No. 10)
One atom of each set of equivalent atoms:
Tl 0.0000 0.0000 0.0000  2 Au 2.99, 4 As 3.09
As 0.2487 0.5000 0.6627  1 As 2.45, 2 Au 2.56
Au 0.5000 0.0000 0.5000  4 As 2.56

---

iii | TlAs2Au at its PBEsol-relaxed geometry. Source: Alexandria, functional meta-GGA SCAN.

Computed properties:
For the total moment, the calculation gives 0.00 Bohr magnetons per cell.

Lattice parameters (Å, degrees): 3.5515 3.5515 6.9920 90.00 90.00 90.00
With the nearest neighbours (Å) after each atom.
Space group P4/mmm (No. 123)
One atom of each set of equivalent atoms:
Tl 0.0000 0.0000 0.0000  8 As 3.38, 2 Au 3.50, 4 Tl 3.55
As 0.5000 0.5000 0.3238  1 As 2.46
Au 0.0000 0.0000 0.5000  8 As 2.80

---

Which of them is most stable? Easy: ii.

---

i | Tl2AsAu at its PBEsol-relaxed geometry. Source: Alexandria, functional meta-GGA SCAN.

Computed properties:
For the total moment, the calculation gives 0.00 Bohr magnetons per cell.

Lattice parameters (Å, degrees): 4.3577 4.3577 19.0325 90.00 90.00 120.00
With the nearest neighbours (Å) after each atom.
Space group R3m (No. 160, hexagonal axes)
One atom of each set of equivalent atoms:
Tl 0.0000 0.0000 0.0000  3 As 3.16, 3 Au 3.35, 3 Tl 3.41
Tl 0.0000 0.0000 0.2121  3 Au 3.11, 3 As 3.29, 3 Tl 3.41
As 0.0000 0.0000 0.7670  3 Au 2.53
Au 0.0000 0.0000 0.4497  3 As 2.53

---

ii | Tl2AsAu at its PBEsol-relaxed geometry. Source: Alexandria, functional meta-GGA SCAN.

Computed properties:
For the total moment, the calculation gives 0.00 Bohr magnetons per cell.

Lattice parameters (Å, degrees): 4.6766 4.6766 8.2658 90.00 90.00 90.00
With the nearest neighbours (Å) after each atom.
Space group I4/mmm (No. 139)
One atom of each set of equivalent atoms:
Tl 0.0000 0.5000 0.2500  4 As 3.12, 4 Au 3.12, 4 Tl 3.31
As 0.0000 0.0000 0.0000  8 Tl 3.12, 4 Au 3.31
Au 0.0000 0.0000 0.5000  8 Tl 3.12, 4 As 3.31

---

Which of them is most stable? Easy: i.

---

i | FeBAsBr2 at its PBEsol-relaxed geometry. Source: Alexandria, functional meta-GGA SCAN.

Computed properties:
For the total moment, the calculation gives 4.36 Bohr magnetons per cell.

Lattice parameters (Å, degrees): 4.5652 4.5652 4.4006 90.00 90.00 90.00
With the nearest neighbours (Å) after each atom.
Space group P4/mmm (No. 123)
One atom of each set of equivalent atoms:
Fe 0.0000 0.0000 0.0000  8 Br 3.17, 4 As 3.23
B 0.5000 0.5000 0.5000  2 As 2.20, 4 Br 2.28
As 0.5000 0.5000 0.0000  2 B 2.20
Br 0.0000 0.5000 0.5000  2 B 2.28

---

ii | FeBAsBr2 at its PBEsol-relaxed geometry. Source: Alexandria, functional meta-GGA SCAN.

Computed properties:
For the total moment, the calculation gives 2.76 Bohr magnetons per cell.

Lattice parameters (Å, degrees): 4.9386 4.9386 4.4010 90.00 90.00 90.00
With the nearest neighbours (Å) after each atom.
Space group P4/mmm (No. 123)
One atom of each set of equivalent atoms:
Fe 0.0000 0.0000 0.0000  2 As 2.20
B 0.5000 0.5000 0.5000  8 Br 3.31, 4 As 3.49
As 0.0000 0.0000 0.5000  2 Fe 2.20
Br 0.0000 0.5000 0.0000  2 Fe 2.47

---

Which of them is most stable? Easy: i.

---

i | CdBAs2 at its PBEsol-relaxed geometry. Source: Alexandria, functional meta-GGA SCAN.

Computed properties:
For the total moment, the calculation gives 0.00 Bohr magnetons per cell.

Lattice parameters (Å, degrees): 5.6090 5.6090 9.7431 90.00 90.00 90.00
With the nearest neighbours (Å) after each atom.
Space group I-42d (No. 122)
One atom of each set of equivalent atoms:
Cd 0.0000 0.0000 0.0000  4 As 2.62
B 0.0000 0.0000 0.5000  4 As 2.09
As 0.1718 0.2500 0.6250  2 B 2.09

---

ii | CdBAs2 at its PBEsol-relaxed geometry. Source: Alexandria, functional meta-GGA SCAN.

Computed properties:
For the total moment, the calculation gives 0.00 Bohr magnetons per cell.

Lattice parameters (Å, degrees): 6.4633 6.4633 6.4633 90.00 90.00 90.00
With the nearest neighbours (Å) after each atom.
Space group Fm-3m (No. 225)
One atom of each set of equivalent atoms:
Cd 0.0000 0.0000 0.0000  8 As 2.80
B 0.0000 0.0000 0.5000  8 As 2.80
As 0.2500 0.2500 0.2500  4 Cd 2.80, 4 B 2.80

---

Which of them is most stable? Easy: i.

---

i | HgB3As at its PBEsol-relaxed geometry. Source: Alexandria, functional meta-GGA SCAN.

Computed properties:
For the total moment, the calculation gives 0.00 Bohr magnetons per cell.

Lattice parameters (Å, degrees): 4.1573 4.1573 4.1573 90.00 90.00 90.00
With the nearest neighbours (Å) after each atom.
Space group Pm-3m (No. 221)
One atom of each set of equivalent atoms:
Hg 0.0000 0.0000 0.0000  12 B 2.94
B 0.0000 0.5000 0.5000  2 As 2.08
As 0.5000 0.5000 0.5000  6 B 2.08

---

ii | HgB3As at its PBEsol-relaxed geometry. Source: Alexandria, functional meta-GGA SCAN.

Computed properties:
For the total moment, the calculation gives 0.00 Bohr magnetons per cell.

Lattice parameters (Å, degrees): 4.2976 4.2976 4.2976 90.00 90.00 90.00
With the nearest neighbours (Å) after each atom.
Space group Pm-3m (No. 221)
One atom of each set of equivalent atoms:
Hg 0.0000 0.0000 0.0000  6 B 2.15
B 0.0000 0.0000 0.5000  2 Hg 2.15
As 0.5000 0.5000 0.5000  12 B 3.04

---

Which of them is most stable? Easy: i.

---

i | MgBAs2Se at its PBEsol-relaxed geometry. Source: Alexandria, functional meta-GGA SCAN.

Computed properties:
For the total moment, the calculation gives 0.00 Bohr magnetons per cell.

Lattice parameters (Å, degrees): 4.3045 4.3045 4.7779 90.00 90.00 90.00
With the nearest neighbours (Å) after each atom.
Space group P4/mmm (No. 123)
One atom of each set of equivalent atoms:
Mg 0.0000 0.0000 0.0000  4 Se 3.04, 8 As 3.22
B 0.5000 0.5000 0.5000  4 As 2.15, 2 Se 2.39
As 0.0000 0.5000 0.5000  2 B 2.15
Se 0.5000 0.5000 0.0000  2 B 2.39

---

ii | MgBAs2Se at its PBEsol-relaxed geometry. Source: Alexandria, functional meta-GGA SCAN.

Computed properties:
For the total moment, the calculation gives 0.00 Bohr magnetons per cell.

Lattice parameters (Å, degrees): 4.8733 4.8733 4.9497 90.00 90.00 90.00
With the nearest neighbours (Å) after each atom.
Space group P4/mmm (No. 123)
One atom of each set of equivalent atoms:
Mg 0.0000 0.0000 0.0000  4 As 2.44, 2 Se 2.47
B 0.5000 0.5000 0.5000  4 Se 3.45, 8 As 3.47
As 0.0000 0.5000 0.0000  2 Mg 2.44
Se 0.0000 0.0000 0.5000  2 Mg 2.47

---

Which of them is most stable? Easy: i.

---

i | NaBAsSe2 at its PBEsol-relaxed geometry. Source: Alexandria, functional meta-GGA SCAN.

Computed properties:
For the total moment, the calculation gives 0.00 Bohr magnetons per cell.

Lattice parameters (Å, degrees): 4.8230 4.8230 4.0502 90.00 90.00 90.00
With the nearest neighbours (Å) after each atom.
Space group P4/mmm (No. 123)
One atom of each set of equivalent atoms:
Na 0.0000 0.0000 0.0000  8 Se 3.15, 4 As 3.41
B 0.5000 0.5000 0.5000  2 As 2.03
As 0.5000 0.5000 0.0000  2 B 2.03
Se 0.0000 0.5000 0.5000  2 B 2.41

---

ii | NaBAsSe2 at its PBEsol-relaxed geometry. Source: Alexandria, functional meta-GGA SCAN.

Computed properties:
For the total moment, the calculation gives 0.00 Bohr magnetons per cell.

Lattice parameters (Å, degrees): 5.0189 5.0189 4.8693 90.00 90.00 90.00
With the nearest neighbours (Å) after each atom.
Space group P4/mmm (No. 123)
One atom of each set of equivalent atoms:
Na 0.0000 0.0000 0.0000  2 As 2.43, 4 Se 2.51
B 0.5000 0.5000 0.5000  8 Se 3.50, 4 As 3.55
As 0.0000 0.0000 0.5000  2 Na 2.43
Se 0.0000 0.5000 0.0000  2 Na 2.51

---

Which of them is most stable? Easy: i.

---

i | B2AsP at its PBEsol-relaxed geometry. Source: Alexandria, functional meta-GGA SCAN.

Computed properties:
For the total moment, the calculation gives 0.00 Bohr magnetons per cell.

Lattice parameters (Å, degrees): 4.6489 4.6489 9.2827 90.00 90.00 90.00
With the nearest neighbours (Å) after each atom.
Space group I-42d (No. 122)
One atom of each set of equivalent atoms:
B 0.2305 0.2500 0.1250  2 P 1.96, 2 As 2.07
As 0.0000 0.0000 0.5000  4 B 2.07
P 0.0000 0.0000 0.0000  4 B 1.96

---

ii | B2AsP at its PBEsol-relaxed geometry. Source: Alexandria, functional meta-GGA SCAN.

Computed properties:
For the total moment, the calculation gives 0.00 Bohr magnetons per cell.

Lattice parameters (Å, degrees): 3.2853 3.2853 4.6523 90.00 90.00 90.00
With the nearest neighbours (Å) after each atom.
Space group P-4m2 (No. 115)
One atom of each set of equivalent atoms:
B 0.0000 0.5000 0.2366  2 P 1.98, 2 As 2.05
As 0.5000 0.5000 0.5000  4 B 2.05
P 0.0000 0.0000 0.0000  4 B 1.98

---

Which of them is most stable? Easy: i.